1.
The following is a DFT calculation (PBE) of a relaxed Pm4Nd3Dy4 crystal.

DOS(E_F) (states/eV/f.u.): 15.523
Volume (Å³ per atom): 34.58
Energy above the most stable polymorph in this dataset (meV/atom): 0
M_tot (μB/f.u.): 0.00

a b c (Å): 3.622 9.478 12.187
angles (deg): 112.88 98.55 90.00
Positions (direct):
Nd  0.891  0.891  0.782
Nd  0.000  0.500  0.000
Nd  0.109  0.109  0.218
Pm  0.646  0.468  0.292
Pm  0.354  0.176  0.708
Pm  0.354  0.532  0.708
Pm  0.646  0.824  0.292
Dy  0.741  0.241  0.483
Dy  0.500  0.818  0.000
Dy  0.500  0.182  0.000
Dy  0.259  0.759  0.517

***

2.
The following is a DFT calculation (PBE) of a relaxed PmNd6Dy2 crystal.

DOS(E_F) (states/eV/f.u.): 14.229
Volume (Å³ per atom): 34.36
Energy above the most stable polymorph in this dataset (meV/atom): 0
M_tot (μB/f.u.): 0.00

a b c (Å): 3.652 8.941 13.119
angles (deg): 132.68 81.92 90.12
Positions (direct):
Nd  0.891  0.554  0.219
Nd  0.779  0.107  0.442
Nd  0.109  0.446  0.781
Nd  0.666  0.667  0.668
Nd  0.221  0.893  0.558
Nd  0.334  0.333  0.332
Dy  0.445  0.777  0.110
Dy  0.555  0.223  0.890
Pm  0.000  0.000  0.000

***

3.
The following is a DFT calculation (PBE) of a relaxed Pm5Nd2Dy4 crystal.

DOS(E_F) (states/eV/f.u.): 17.144
Volume (Å³ per atom): 34.49
Energy above the most stable polymorph in this dataset (meV/atom): 0
M_tot (μB/f.u.): 0.00

a b c (Å): 3.594 12.197 9.245
angles (deg): 107.09 101.21 90.00
Positions (direct):
Nd  0.321  0.703  0.642
Nd  0.679  0.297  0.358
Pm  0.110  0.517  0.219
Pm  0.500  0.000  0.000
Pm  0.834  0.987  0.668
Pm  0.890  0.483  0.781
Pm  0.166  0.013  0.332
Dy  0.669  0.768  0.339
Dy  0.331  0.232  0.661
Dy  0.003  0.753  0.006
Dy  0.997  0.247  0.994

***

4.
The following is a DFT calculation (PBE) of a relaxed Pm4Nd6Dy crystal.

DOS(E_F) (states/eV/f.u.): 16.859
Final energy (eV per atom): -4.466
Volume (Å³ per atom): 35.72
M_tot (μB/f.u.): 0.00

a b c (Å): 6.775 6.775 9.810
angles (deg): 110.20 110.20 90.00
Positions (direct):
Nd  0.134  0.134  0.647
Nd  0.500  0.000  0.000
Nd  0.487  0.866  0.353
Nd  0.000  0.500  0.000
Nd  0.513  0.513  0.647
Nd  0.866  0.487  0.353
Pm  0.948  0.948  0.248
Pm  0.052  0.699  0.752
Pm  0.699  0.052  0.752
Pm  0.301  0.301  0.248
Dy  0.500  0.500  0.000

***

5.
The following is a DFT calculation (PBE) of a relaxed PmNd4Dy crystal.

DOS(E_F) (states/eV/f.u.): 8.964
Volume (Å³ per atom): 34.56
Energy above the most stable polymorph in this dataset (meV/atom): 0
M_tot (μB/f.u.): 0.00

a b c (Å): 8.171 8.171 5.166
angles (deg): 90.00 90.00 36.96
Positions (direct):
Nd  0.334  0.334  0.000
Nd  0.666  0.666  0.000
Nd  0.165  0.165  0.500
Nd  0.835  0.835  0.500
Dy  0.000  0.000  0.000
Pm  0.500  0.500  0.500

***

6.
The following is a DFT calculation (PBE) of a relaxed Pm7NdDy4 crystal.

DOS(E_F) (states/eV/f.u.): 17.053
Volume (Å³ per atom): 33.60
Energy above the most stable polymorph in this dataset (meV/atom): 0
M_tot (μB/f.u.): 0.00

a b c (Å): 7.294 9.653 8.998
angles (deg): 81.10 90.00 40.91
Positions (direct):
Pm  0.500  0.000  0.000
Pm  0.222  0.778  0.666
Pm  0.028  0.720  0.336
Pm  0.972  0.280  0.664
Pm  0.753  0.500  0.001
Pm  0.247  0.500  0.999
Pm  0.778  0.222  0.334
Dy  0.719  0.781  0.665
Dy  0.468  0.279  0.666
Dy  0.532  0.721  0.334
Dy  0.281  0.219  0.335
Nd  0.000  0.000  0.000

***

7.
The following is a DFT calculation (PBE) of a relaxed Pm4Nd2Dy crystal.

DOS(E_F) (states/eV/f.u.): 7.645
Volume (Å³ per atom): 35.07
Energy above the most stable polymorph in this dataset (meV/atom): 147
M_tot (μB/f.u.): 0.00

a b c (Å): 3.815 12.900 19.953
angles (deg): 90.00 90.00 90.00
Positions (direct):
Pm  0.000  0.264  0.434
Pm  0.000  0.236  0.934
Pm  0.000  0.109  0.678
Pm  0.000  0.736  0.566
Pm  0.000  0.391  0.178
Pm  0.500  0.391  0.322
Pm  0.000  0.609  0.822
Pm  0.000  0.764  0.066
Pm  0.500  0.264  0.066
Pm  0.000  0.891  0.322
Pm  0.500  0.736  0.934
Pm  0.500  0.236  0.566
Pm  0.500  0.609  0.678
Pm  0.500  0.764  0.434
Pm  0.500  0.891  0.178
Pm  0.500  0.109  0.822
Dy  0.000  0.000  0.500
Dy  0.500  0.500  0.500
Dy  0.500  0.000  0.000
Dy  0.000  0.500  0.000
Nd  0.000  0.607  0.331
Nd  0.500  0.893  0.669
Nd  0.000  0.393  0.669
Nd  0.500  0.393  0.831
Nd  0.000  0.107  0.169
Nd  0.500  0.107  0.331
Nd  0.500  0.607  0.169
Nd  0.000  0.893  0.831

***

8.
The following is a DFT calculation (PBE) of a relaxed PmNd7Dy12 crystal.

DOS(E_F) (states/eV/f.u.): 29.463
Volume (Å³ per atom): 36.52
Energy above the most stable polymorph in this dataset (meV/atom): 398
M_tot (μB/f.u.): 0.00

a b c (Å): 9.827 9.827 9.827
angles (deg): 109.47 109.47 109.47
Positions (direct):
Dy  0.249  0.499  0.249
Dy  0.249  0.249  0.499
Dy  0.499  0.249  0.249
Dy  0.751  0.000  0.249
Dy  0.000  0.249  0.751
Dy  0.249  0.000  0.751
Dy  0.501  0.751  0.751
Dy  0.249  0.751  0.000
Dy  0.751  0.751  0.501
Dy  0.751  0.249  0.000
Dy  0.751  0.501  0.751
Dy  0.000  0.751  0.249
Nd  0.000  0.000  0.500
Nd  0.500  0.000  0.500
Nd  0.000  0.500  0.000
Nd  0.000  0.500  0.500
Nd  0.500  0.500  0.500
Nd  0.500  0.500  0.000
Nd  0.500  0.000  0.000
Pm  0.000  0.000  0.000

***

9.
The following is a DFT calculation (PBE) of a relaxed Pm2Nd4Dy3 crystal.

DOS(E_F) (states/eV/f.u.): 17.135
Volume (Å³ per atom): 34.38
Energy above the most stable polymorph in this dataset (meV/atom): 7
M_tot (μB/f.u.): 0.01

a b c (Å): 3.637 3.637 27.012
angles (deg): 90.00 90.00 120.00
Positions (direct):
Nd  0.667  0.333  0.218
Nd  0.000  0.000  0.762
Nd  0.667  0.333  0.432
Nd  0.000  0.000  0.546
Dy  0.000  0.000  0.982
Dy  0.000  0.000  0.324
Dy  0.667  0.333  0.654
Pm  0.667  0.333  0.874
Pm  0.667  0.333  0.086

***

10.
The following is a DFT calculation (PBE) of a relaxed Pm6Nd4Dy crystal.

DOS(E_F) (states/eV/f.u.): 16.849
Volume (Å³ per atom): 35.56
Energy above the most stable polymorph in this dataset (meV/atom): 0
M_tot (μB/f.u.): 0.00

a b c (Å): 9.820 9.820 9.820
angles (deg): 58.17 139.79 139.79
Positions (direct):
Pm  0.352  0.552  0.552
Pm  0.000  0.448  0.801
Pm  0.000  0.801  0.448
Pm  0.500  0.500  0.000
Pm  0.648  0.199  0.199
Pm  0.500  0.000  0.500
Nd  0.000  0.634  0.013
Nd  0.379  0.366  0.366
Nd  0.000  0.013  0.634
Nd  0.621  0.987  0.987
Dy  0.000  0.000  0.000

***

Question: Look up the volume of the sixth one.
Answer: 33.60 Å³ per atom